[1]
The following is a GGA-PBE calculation of a geometry-optimized YNi2Au2 structure, from Alexandria.

```
YNi2Au2
1.0
7.399 0.000 0.000
0.000 7.399 0.000
0.000 0.000 3.158
Y Ni Au
2 4 4
Direct
0.000 0.000 0.000 Y
0.500 0.500 0.000 Y
0.162 0.338 0.500 Ni
0.338 0.838 0.500 Ni
0.662 0.162 0.500 Ni
0.838 0.662 0.500 Ni
0.134 0.634 0.000 Au
0.366 0.134 0.000 Au
0.634 0.866 0.000 Au
0.866 0.366 0.000 Au
```

The formation enthalpy at 0 K comes out at -172 meV per atom. The calculation puts the density of states at the Fermi level at 0.64 states/eV/atom. The total energy comes out at -5.0883 eV per atom.


[2]
The following is a GGA-PBE calculation of a geometry-optimized TlZnSi2 structure, from Alexandria.

```
TlZnSi2
1.0
2.072 -2.112 0.000
2.072 2.112 0.000
0.000 0.000 9.236
Tl Zn Si
1 1 2
Direct
0.000 0.000 0.000 Tl
0.000 0.000 0.500 Zn
0.500 0.500 0.311 Si
0.500 0.500 0.689 Si
```

The calculation puts the density of states at the Fermi level at 0.26 states/eV/atom. The total energy comes out at -3.1263 eV per atom.


no.,energy above the lowest structure with this stoichiometry (kJ per mole of atoms)
1,14.0
2,22.5